CsCaTlSiSe | PBE | optimized geometry

Cell and atoms, written as POSCAR:
```
CsCaTlSiSe
1.0
4.6341 0.0000 0.0000
-2.3170 4.0132 0.0000
0.0000 0.0000 27.5742
Cs Se Si Tl Ca
3 3 3 3 3
Direct
0.3333 0.6667 0.7889 Cs
0.0000 0.0000 0.1222 Cs
0.6667 0.3333 0.4556 Cs
0.0000 0.0000 0.5467 Se
0.3333 0.6667 0.2134 Se
0.6667 0.3333 0.8800 Se
0.6667 0.3333 0.9782 Si
0.0000 0.0000 0.6448 Si
0.3333 0.6667 0.3115 Si
0.0000 0.0000 0.3513 Tl
0.6667 0.3333 0.6847 Tl
0.3333 0.6667 0.0180 Tl
0.0000 0.0000 0.9255 Ca
0.6667 0.3333 0.2588 Ca
0.3333 0.6667 0.5921 Ca
```

Calculated values
Total energy   -51.88 eV per cell
Energy above the lowest structure with this stoichiometry   0.15 eV per formula unit
Crystal system   trigonal
Uncorrected formation energy   -0.633 eV/atom
Theoretical density   4.7 Mg/m³
Total magnetic moment   0.00 Bohr magnetons per cell